The following is a PBE calculation of a relaxed structure of Sc6TcPb2, from Alexandria.

The structure belongs to space group P-62m (No. 189); the cell edges are 7.8594, 7.8594 and 3.9179 Å and the angles 90.00°, 90.00° and 120.00°. The asymmetric unit holds Sc at (0.0000, 0.3864, 0.0000), Sc at (0.0000, 0.7630, 0.5000), Tc at (0.0000, 0.0000, 0.0000) and Pb at (0.3333, 0.6667, 0.5000).

The energy relative to the elements comes out at -0.36 eV per atom.

---

The following is a PBE calculation of a relaxed structure of InMo2Ir2, from Alexandria.

The structure belongs to space group I4/mmm (No. 139); the cell edges are 3.954, 3.954 and 11.690 Å and the angles 90.00°, 90.00° and 90.00°. The asymmetric unit holds In at (0.000, 0.000, 0.000), Mo at (0.000, 0.500, 0.250) and Ir at (0.000, 0.000, 0.394).

The energy relative to the elements comes out at 0.18 eV per atom.